1 | Mg2Ga2Sn | meta-GGA SCAN | PBEsol geometry

a = 8.0049 Å, b = 8.0049 Å, c = 3.1694 Å
α = 90.00°, β = 90.00°, γ = 90.00°
Closest atoms and distances in Å follow each position.
Space group P4/mbm (No. 127)
Unique sites:
Mg 0.1808 0.3192 0.0000 (multiplicity 4)  6 Ga 2.78-2.91
Ga 0.1170 0.6170 0.5000 (multiplicity 4)  1 Ga 2.65, 6 Mg 2.78-2.91
Sn 0.0000 0.0000 0.5000 (multiplicity 2)  2 Sn 3.17, 4 Ga 3.21, 8 Mg 3.34

Results
The calculation puts the total magnetic moment at 0.0 μB/cell.


2 | Mg2Ga2Sn | meta-GGA SCAN | PBEsol geometry

a = 4.2990 Å, b = 4.2990 Å, c = 11.6869 Å
α = 90.00°, β = 90.00°, γ = 90.00°
Closest atoms and distances in Å follow each position.
Space group I4/mmm (No. 139)
Unique sites:
Mg 0.0000 0.5000 0.2500 (multiplicity 4)  4 Ga 2.76, 4 Mg 3.04
Ga 0.0000 0.0000 0.1020 (multiplicity 4)  1 Ga 2.38
Sn 0.0000 0.0000 0.5000 (multiplicity 2)  8 Ga 3.27, 8 Mg 3.63

Results
The calculation puts the total magnetic moment at 0.0 μB/cell.


Most stable structure, least stable structure: 1, 2.


1 | MgZn2Ga2 | meta-GGA SCAN | PBEsol geometry

a = 7.2059 Å, b = 7.2059 Å, c = 3.3438 Å
α = 90.00°, β = 90.00°, γ = 90.00°
Closest atoms and distances in Å follow each position.
Space group P4/mbm (No. 127)
Unique sites:
Mg 0.0000 0.0000 0.0000 (multiplicity 2)  4 Zn 2.86, 8 Ga 3.14
Zn 0.1231 0.3769 0.0000 (multiplicity 4)  1 Zn 2.51, 6 Ga 2.63-2.76
Ga 0.1775 0.6775 0.5000 (multiplicity 4)  6 Zn 2.63-2.76

Results
The calculation puts the total magnetic moment at 0.0 μB/cell.


2 | MgZn2Ga2 | meta-GGA SCAN | PBEsol geometry

a = 3.9179 Å, b = 3.9179 Å, c = 11.3052 Å
α = 90.00°, β = 90.00°, γ = 90.00°
Closest atoms and distances in Å follow each position.
Space group I4/mmm (No. 139)
Unique sites:
Mg 0.0000 0.0000 0.0000 (multiplicity 2)  8 Ga 3.02
Zn 0.0000 0.5000 0.2500 (multiplicity 4)  4 Ga 2.54, 4 Zn 2.77
Ga 0.0000 0.0000 0.3931 (multiplicity 4)  1 Ga 2.42, 4 Zn 2.54

Results
The calculation puts the total magnetic moment at 0.0 μB/cell.


Most stable structure, least stable structure: 2, 1.


1 | Nb2Ga2Mo | meta-GGA SCAN | PBEsol geometry

a = 3.3918 Å, b = 3.3918 Å, c = 14.8402 Å
α = 90.00°, β = 90.00°, γ = 90.00°
Closest atoms and distances in Å follow each position.
Space group I4/mmm (No. 139)
Unique sites:
Nb 0.0000 0.0000 0.0975 (multiplicity 4)  4 Mo 2.80, 4 Ga 2.83, 1 Nb 2.89
Ga 0.0000 0.5000 0.2500 (multiplicity 4)  4 Ga 2.40
Mo 0.0000 0.0000 0.5000 (multiplicity 2)  8 Nb 2.80

Results
The calculation puts the total magnetic moment at 0.0 μB/cell.


2 | Nb2Ga2Mo | meta-GGA SCAN | PBEsol geometry

a = 6.7288 Å, b = 6.7288 Å, c = 3.5123 Å
α = 90.00°, β = 90.00°, γ = 90.00°
Closest atoms and distances in Å follow each position.
Space group P4/mbm (No. 127)
Unique sites:
Nb 0.1743 0.3257 0.0000 (multiplicity 4)  6 Ga 2.57-2.71
Ga 0.1284 0.6284 0.5000 (multiplicity 4)  1 Ga 2.44, 6 Nb 2.57-2.71, 2 Mo 2.65
Mo 0.0000 0.0000 0.5000 (multiplicity 2)  4 Ga 2.65

Results
The calculation puts the total magnetic moment at 0.0 μB/cell.


Most stable structure, least stable structure: 2, 1.


1 | GaRu3N | meta-GGA SCAN | PBEsol geometry

a = 4.4512 Å, b = 4.4512 Å, c = 4.4512 Å
α = 90.00°, β = 90.00°, γ = 90.00°
Closest atoms and distances in Å follow each position.
Space group Pm-3m (No. 221)
Unique sites:
Ga 0.0000 0.0000 0.0000 (multiplicity 1)  6 Ru 2.23
Ru 0.0000 0.0000 0.5000 (multiplicity 3)  2 Ga 2.23
N 0.5000 0.5000 0.5000 (multiplicity 1)  12 Ru 3.15

Results
The calculation puts the total magnetic moment at 3.3 μB/cell.


2 | GaRu3N | meta-GGA SCAN | PBEsol geometry

a = 3.9637 Å, b = 3.9637 Å, c = 3.9637 Å
α = 90.00°, β = 90.00°, γ = 90.00°
Closest atoms and distances in Å follow each position.
Space group Pm-3m (No. 221)
Unique sites:
Ga 0.0000 0.0000 0.0000 (multiplicity 1)  12 Ru 2.80
Ru 0.0000 0.5000 0.5000 (multiplicity 3)  2 N 1.98
N 0.5000 0.5000 0.5000 (multiplicity 1)  6 Ru 1.98

Results
The calculation puts the total magnetic moment at 0.0 μB/cell.


Most stable structure, least stable structure: 2, 1.


1 | SrGaTeN2 | meta-GGA SCAN | PBEsol geometry

a = 4.2841 Å, b = 4.2841 Å, c = 5.4194 Å
α = 90.00°, β = 90.00°, γ = 90.00°
Closest atoms and distances in Å follow each position.
Space group P4/mmm (No. 123)
Unique sites:
Sr 0.0000 0.0000 0.0000 (multiplicity 1)  4 Te 3.03
Ga 0.5000 0.5000 0.5000 (multiplicity 1)  4 N 2.14
Te 0.5000 0.5000 0.0000 (multiplicity 1)  2 Ga 2.71, 4 Sr 3.03
N 0.0000 0.5000 0.5000 (multiplicity 2)  2 Ga 2.14

Results
The calculation puts the total magnetic moment at 3.0 μB/cell.


2 | SrGaTeN2 | meta-GGA SCAN | PBEsol geometry

a = 4.7422 Å, b = 4.7422 Å, c = 6.4726 Å
α = 90.00°, β = 90.00°, γ = 90.00°
Closest atoms and distances in Å follow each position.
Space group P4/mmm (No. 123)
Unique sites:
Sr 0.0000 0.0000 0.0000 (multiplicity 1)  4 N 2.37
Ga 0.5000 0.5000 0.5000 (multiplicity 1)  4 Te 3.35
Te 0.0000 0.0000 0.5000 (multiplicity 1)  2 Sr 3.24, 4 Ga 3.35
N 0.0000 0.5000 0.0000 (multiplicity 2)  2 Sr 2.37

Results
The calculation puts the total magnetic moment at 4.8 μB/cell.


Most stable structure, least stable structure: 1, 2.


1 | Na2GaPb2 | meta-GGA SCAN | PBEsol geometry

a = 7.4636 Å, b = 7.4636 Å, c = 5.0808 Å
α = 90.00°, β = 90.00°, γ = 90.00°
Closest atoms and distances in Å follow each position.
Space group P4/mbm (No. 127)
Unique sites:
Na 0.1638 0.3362 0.0000 (multiplicity 4)  6 Pb 3.23-3.45, 1 Na 3.46
Ga 0.0000 0.0000 0.5000 (multiplicity 2)  4 Pb 2.85
Pb 0.1478 0.6478 0.5000 (multiplicity 4)  2 Ga 2.85, 1 Pb 3.12

Results
The calculation puts the total magnetic moment at 0.0 μB/cell.


2 | Na2GaPb2 | meta-GGA SCAN | PBEsol geometry

a = 4.1104 Å, b = 4.1104 Å, c = 16.2177 Å
α = 90.00°, β = 90.00°, γ = 90.00°
Closest atoms and distances in Å follow each position.
Space group I4/mmm (No. 139)
Unique sites:
Na 0.0000 0.5000 0.2500 (multiplicity 4)  4 Na 2.91
Ga 0.0000 0.0000 0.0000 (multiplicity 2)  8 Pb 3.27
Pb 0.0000 0.0000 0.4074 (multiplicity 4)  1 Pb 3.00, 4 Ga 3.27, 4 Na 3.28

Results
The calculation puts the total magnetic moment at 0.0 μB/cell.


Most stable structure, least stable structure: 1, 2.


1 | NaSr2Ga2 | meta-GGA SCAN | PBEsol geometry

a = 8.6249 Å, b = 8.6249 Å, c = 4.1170 Å
α = 90.00°, β = 90.00°, γ = 90.00°
Closest atoms and distances in Å follow each position.
Space group P4/mbm (No. 127)
Unique sites:
Na 0.0000 0.0000 0.0000 (multiplicity 2)  4 Ga 3.51, 8 Sr 3.77
Sr 0.1816 0.3184 0.5000 (multiplicity 4)  6 Ga 3.29-3.30
Ga 0.1069 0.6069 0.0000 (multiplicity 4)  1 Ga 2.61

Results
The calculation puts the total magnetic moment at 0.0 μB/cell.


2 | NaSr2Ga2 | meta-GGA SCAN | PBEsol geometry

a = 6.0928 Å, b = 6.0928 Å, c = 8.7665 Å
α = 90.00°, β = 90.00°, γ = 90.00°
Closest atoms and distances in Å follow each position.
Space group I4/mmm (No. 139)
Unique sites:
Na 0.0000 0.0000 0.0000 (multiplicity 2)  2 Ga 3.19
Sr 0.0000 0.5000 0.2500 (multiplicity 4)  4 Ga 3.21
Ga 0.0000 0.0000 0.3638 (multiplicity 4)  1 Ga 2.39

Results
The calculation puts the total magnetic moment at 0.0 μB/cell.


Most stable structure, least stable structure: 1, 2.


1 | NaZn2Ga2 | meta-GGA SCAN | PBEsol geometry

a = 4.0361 Å, b = 4.0361 Å, c = 11.2618 Å
α = 90.00°, β = 90.00°, γ = 90.00°
Closest atoms and distances in Å follow each position.
Space group I4/mmm (No. 139)
Unique sites:
Na 0.0000 0.0000 0.0000 (multiplicity 2)  8 Ga 3.11, 8 Zn 3.46
Zn 0.0000 0.5000 0.2500 (multiplicity 4)  4 Ga 2.56, 4 Zn 2.85
Ga 0.0000 0.0000 0.3900 (multiplicity 4)  1 Ga 2.48, 4 Zn 2.56

Results
The calculation puts the total magnetic moment at 0.0 μB/cell.


2 | NaZn2Ga2 | meta-GGA SCAN | PBEsol geometry

a = 7.9325 Å, b = 7.9325 Å, c = 2.7958 Å
α = 90.00°, β = 90.00°, γ = 90.00°
Closest atoms and distances in Å follow each position.
Space group P4/mbm (No. 127)
Unique sites:
Na 0.0000 0.0000 0.0000 (multiplicity 2)  2 Na 2.80, 4 Ga 3.06
Zn 0.1531 0.3469 0.5000 (multiplicity 4)  6 Ga 2.70-2.72, 2 Zn 2.80
Ga 0.1413 0.6413 0.0000 (multiplicity 4)  6 Zn 2.70-2.72, 2 Ga 2.80

Results
The calculation puts the total magnetic moment at 0.0 μB/cell.


Most stable structure, least stable structure: 1, 2.


1 | TiNb2Ga2 | meta-GGA SCAN | PBEsol geometry

a = 6.8279 Å, b = 6.8279 Å, c = 3.4956 Å
α = 90.00°, β = 90.00°, γ = 90.00°
Closest atoms and distances in Å follow each position.
Space group P4/mbm (No. 127)
Unique sites:
Ti 0.0000 0.0000 0.0000 (multiplicity 2)  4 Ga 2.69
Nb 0.1738 0.3262 0.5000 (multiplicity 4)  6 Ga 2.60-2.72
Ga 0.1275 0.6275 0.0000 (multiplicity 4)  1 Ga 2.46, 6 Nb 2.60-2.72, 2 Ti 2.69

Results
The calculation puts the total magnetic moment at 0.0 μB/cell.


2 | TiNb2Ga2 | meta-GGA SCAN | PBEsol geometry

a = 3.4898 Å, b = 3.4898 Å, c = 14.4159 Å
α = 90.00°, β = 90.00°, γ = 90.00°
Closest atoms and distances in Å follow each position.
Space group I4/mmm (No. 139)
Unique sites:
Ti 0.0000 0.0000 0.0000 (multiplicity 2)  8 Nb 2.83
Nb 0.0000 0.0000 0.4035 (multiplicity 4)  1 Nb 2.78, 4 Ga 2.82, 4 Ti 2.83
Ga 0.0000 0.5000 0.2500 (multiplicity 4)  4 Ga 2.47

Results
The calculation puts the total magnetic moment at 0.0 μB/cell.


Most stable structure, least stable structure: 1, 2.


1 | NdGa3 | meta-GGA SCAN | PBEsol geometry

a = 4.3040 Å, b = 4.3040 Å, c = 4.3040 Å
α = 90.00°, β = 90.00°, γ = 90.00°
Closest atoms and distances in Å follow each position.
Space group Pm-3m (No. 221)
Unique sites:
Nd 0.0000 0.0000 0.0000 (multiplicity 1)  12 Ga 3.04
Ga 0.0000 0.5000 0.5000 (multiplicity 3)  4 Nd 3.04, 8 Ga 3.04

Results
The calculation puts the total magnetic moment at 0.0 μB/cell.


2 | NdGa3 | meta-GGA SCAN | PBEsol geometry

a = 6.3654 Å, b = 6.3654 Å, c = 4.5046 Å
α = 90.00°, β = 90.00°, γ = 120.00°
Closest atoms and distances in Å follow each position.
Space group P6_3/mmc (No. 194)
Unique sites:
Nd 0.3333 0.6667 0.2500 (multiplicity 2)  12 Ga 3.08-3.19
Ga 0.1429 0.2858 0.7500 (multiplicity 6)  6 Ga 2.73-2.75

Results
The calculation puts the total magnetic moment at 0.0 μB/cell.


Most stable structure, least stable structure: 2, 1.